(1)
Crystalline KTlWBr6 at its relaxed geometry. Source: Alexandria via LeMat-Bulk, functional GGA-PBE.

a b c (Å): 7.896 7.896 12.526
angles (deg): 90.00 90.00 120.00
Sites, in units of the cell vectors:
K (0.333, 0.667, 0.250)
K (0.667, 0.333, 0.750)
Tl (0.000, 0.000, 0.000)
Tl (0.000, 0.000, 0.500)
W (0.333, 0.667, 0.750)
W (0.667, 0.333, 0.250)
Br (0.070, 0.403, 0.631)
Br (0.070, 0.666, 0.869)
Br (0.334, 0.403, 0.869)
Br (0.334, 0.930, 0.631)
Br (0.403, 0.070, 0.131)
Br (0.403, 0.334, 0.369)
Br (0.597, 0.666, 0.631)
Br (0.597, 0.930, 0.869)
Br (0.666, 0.070, 0.369)
Br (0.666, 0.597, 0.131)
Br (0.930, 0.334, 0.131)
Br (0.930, 0.597, 0.369)

Calculated values
Calculated volume, Å³ per cell: 676
E_form (uncorrected), eV/atom: -0.792
Symmetry: P-31c (163)

(2)
Crystalline Y6Bi3Te2Pb at its relaxed geometry. Source: Alexandria via LeMat-Bulk, functional GGA-PBE.

a b c (Å): 9.926 9.926 8.896
angles (deg): 102.86 102.86 25.90
Sites, in units of the cell vectors:
Y (0.001, 0.001, 0.256)
Y (0.335, 0.335, 0.914)
Y (0.336, 0.336, 0.421)
Y (0.664, 0.664, 0.579)
Y (0.665, 0.665, 0.086)
Y (0.999, 0.999, 0.744)
Bi (0.169, 0.169, 0.333)
Bi (0.500, 0.500, 0.000)
Bi (0.831, 0.831, 0.667)
Te (0.167, 0.167, 0.835)
Te (0.833, 0.833, 0.165)
Pb (0.500, 0.500, 0.500)

Calculated values
Calculated volume, Å³ per cell: 373
E_form (uncorrected), eV/atom: -1.005
Symmetry: C2/m (12)

(3)
Crystalline Nb3VSe8 at its relaxed geometry. Source: Alexandria via LeMat-Bulk, functional GGA-PBE.

a b c (Å): 6.944 6.944 8.084
angles (deg): 115.70 115.70 60.05
Sites, in units of the cell vectors:
Nb (0.000, 0.000, 0.000)
Nb (0.000, 0.500, 0.000)
Nb (0.500, 0.000, 0.000)
V (0.500, 0.500, 0.000)
Se (0.248, 0.248, 0.242)
Se (0.255, 0.741, 0.234)
Se (0.259, 0.259, 0.766)
Se (0.259, 0.745, 0.766)
Se (0.741, 0.255, 0.234)
Se (0.741, 0.741, 0.234)
Se (0.745, 0.259, 0.766)
Se (0.752, 0.752, 0.758)

Calculated values
Calculated volume, Å³ per cell: 292
E_form (uncorrected), eV/atom: -0.791
Symmetry: C2/m (12)

(4)
Crystalline ScZnCl at its relaxed geometry. Source: Alexandria via LeMat-Bulk, functional GGA-PBE.

a b c (Å): 4.596 4.596 4.596
angles (deg): 60.00 60.00 60.00
Sites, in units of the cell vectors:
Sc (0.000, 0.000, 0.000)
Zn (0.250, 0.250, 0.250)
Cl (0.750, 0.750, 0.750)

Calculated values
Calculated volume, Å³ per cell: 69
E_form (uncorrected), eV/atom: -0.198
Excess energy over the best structure of this formula in the dataset, meV/atom: 595
Symmetry: F-43m (216)

(5)
Crystalline Pa2CrCo12B3 at its relaxed geometry. Source: Alexandria via LeMat-Bulk, functional GGA-PBE.

a b c (Å): 6.532 6.532 6.532
angles (deg): 65.16 65.16 65.16
Sites, in units of the cell vectors:
Pa (0.098, 0.098, 0.098)
Pa (0.902, 0.902, 0.902)
Cr (0.500, 0.500, 0.500)
Co (0.080, 0.650, 0.650)
Co (0.233, 0.233, 0.630)
Co (0.233, 0.630, 0.233)
Co (0.350, 0.350, 0.920)
Co (0.350, 0.920, 0.350)
Co (0.370, 0.767, 0.767)
Co (0.630, 0.233, 0.233)
Co (0.650, 0.080, 0.650)
Co (0.650, 0.650, 0.080)
Co (0.767, 0.370, 0.767)
Co (0.767, 0.767, 0.370)
Co (0.920, 0.350, 0.350)
B (0.000, 0.500, 0.500)
B (0.500, 0.000, 0.500)
B (0.500, 0.500, 0.000)

Calculated values
Calculated volume, Å³ per cell: 219
Formation energy from the elements, eV/f.u.: 0.80
Symmetry: R-3m (166)

(6)
Crystalline MnGa2HRh at its relaxed geometry. Source: Alexandria via LeMat-Bulk, functional GGA-PBE.

a b c (Å): 4.147 4.147 3.355
angles (deg): 90.00 90.00 90.00
Sites, in units of the cell vectors:
Mn (0.000, 0.000, 0.000)
Ga (0.000, 0.500, 0.500)
Ga (0.500, 0.000, 0.500)
H (0.000, 0.000, 0.500)
Rh (0.500, 0.500, 0.000)

Calculated values
Calculated volume, Å³ per cell: 58
Electronic total energy, hartree per atom: -0.1955
Symmetry: P4/mmm (123)

(7)
Crystalline CrOs2Rh at its relaxed geometry. Source: Alexandria via LeMat-Bulk, functional GGA-PBE.

a b c (Å): 3.109 3.109 5.787
angles (deg): 90.00 90.00 90.00
Sites, in units of the cell vectors:
Cr (0.000, 0.000, 0.000)
Os (0.500, 0.500, 0.224)
Os (0.500, 0.500, 0.776)
Rh (0.000, 0.000, 0.500)

Calculated values
Calculated volume, Å³ per cell: 56
Excess energy over the best structure of this formula in the dataset, meV/atom: 332
Formation energy from the elements, eV/f.u.: 1.47
Symmetry: P4/mmm (123)

(8)
Crystalline Np2UMnS6 at its relaxed geometry. Source: Alexandria via LeMat-Bulk, functional GGA-PBE.

a b c (Å): 7.180 7.180 7.180
angles (deg): 56.23 56.23 56.23
Sites, in units of the cell vectors:
Np (0.000, 0.000, 0.000)
Np (0.499, 0.499, 0.499)
U (0.695, 0.695, 0.695)
Mn (0.194, 0.194, 0.194)
S (0.082, 0.816, 0.410)
S (0.305, 0.575, 0.922)
S (0.410, 0.082, 0.816)
S (0.575, 0.922, 0.305)
S (0.816, 0.410, 0.082)
S (0.922, 0.305, 0.575)

Calculated values
Calculated volume, Å³ per cell: 239
E_form (uncorrected), eV/atom: -1.152
Symmetry: R3 (146)

(9)
Crystalline RbLiCaTe2 at its relaxed geometry. Source: Alexandria via LeMat-Bulk, functional GGA-PBE.

a b c (Å): 5.991 5.991 5.975
angles (deg): 90.00 90.00 90.00
Sites, in units of the cell vectors:
Rb (0.000, 0.000, 0.000)
Li (0.500, 0.500, 0.000)
Ca (0.000, 0.000, 0.500)
Te (0.000, 0.500, 0.500)
Te (0.500, 0.000, 0.500)

Calculated values
Calculated volume, Å³ per cell: 214
E_form (uncorrected), eV/atom: -0.370
Symmetry: P4/mmm (123)

(10)
Crystalline CsMnIN2 at its relaxed geometry. Source: Alexandria via LeMat-Bulk, functional GGA-PBE.

a b c (Å): 4.519 4.519 7.174
angles (deg): 90.00 90.00 90.00
Sites, in units of the cell vectors:
Cs (0.000, 0.000, 0.000)
Mn (0.500, 0.500, 0.500)
I (0.000, 0.000, 0.500)
N (0.000, 0.500, 0.000)
N (0.500, 0.000, 0.000)

Calculated values
Calculated volume, Å³ per cell: 147
E_form (uncorrected), eV/atom: 2.200
Excess energy over the best structure of this formula in the dataset, meV/atom: 982
Symmetry: P4/mmm (123)

(11)
Crystalline AlInSbO6 at its relaxed geometry. Source: Alexandria via LeMat-Bulk, functional GGA-PBE.

a b c (Å): 5.158 5.158 9.089
angles (deg): 90.00 90.00 120.00
Sites, in units of the cell vectors:
Al (0.333, 0.667, 0.250)
Al (0.667, 0.333, 0.750)
In (0.000, 0.000, 0.000)
In (0.000, 0.000, 0.500)
Sb (0.333, 0.667, 0.750)
Sb (0.667, 0.333, 0.250)
O (0.013, 0.362, 0.136)
O (0.013, 0.651, 0.364)
O (0.349, 0.362, 0.364)
O (0.349, 0.987, 0.136)
O (0.362, 0.013, 0.636)
O (0.362, 0.349, 0.864)
O (0.638, 0.651, 0.136)
O (0.638, 0.987, 0.364)
O (0.651, 0.013, 0.864)
O (0.651, 0.638, 0.636)
O (0.987, 0.349, 0.636)
O (0.987, 0.638, 0.864)

Calculated values
Calculated volume, Å³ per cell: 209
E_form (uncorrected), eV/atom: -1.724
Symmetry: P-31c (163)

(12)
Crystalline Tc3MoAs at its relaxed geometry. Source: Alexandria via LeMat-Bulk, functional GGA-PBE.

a b c (Å): 4.681 4.681 4.681
angles (deg): 90.00 90.00 90.00
Sites, in units of the cell vectors:
Tc (0.000, 0.000, 0.500)
Tc (0.000, 0.500, 0.000)
Tc (0.500, 0.000, 0.000)
Mo (0.000, 0.000, 0.000)
As (0.500, 0.500, 0.500)

Calculated values
Calculated volume, Å³ per cell: 103
Excess energy over the best structure of this formula in the dataset, meV/atom: 564
Formation energy from the elements, eV/f.u.: 8.82
Symmetry: Pm-3m (221)